An optimized crystal structure of LaCo3N. Source: Alexandria via LeMat-Bulk, functional PBE-GGA.

The density of states at the Fermi level is 1.594 states/eV/atom. The value obtained for the size of the total moment is 0.01 Bohr magnetons per cell. As for the energy above the lowest structure with this stoichiometry: 0.00 eV/f.u. The value obtained for the calculated total energy is -6.858 eV/atom.

It has space group Pm-3m (No. 221), with a = 3.998 Å, b = 3.998 Å, c = 3.998 Å, α = 90.00°, β = 90.00° and γ = 90.00°. The distinct sites, in fractional coordinates, are La at (0.000, 0.000, 0.000), Co at (0.000, 0.500, 0.500) and N at (0.500, 0.500, 0.500).